Here is a relaxed LiSi2CBr crystal from Alexandria. Energies are from GGA-PBEsol.

crystal system	tetragonal
final energy	-0.115	hartree per atom
N(E_F)	0.702	states/eV per atom

Lattice parameters (Å, degrees): 4.4183 4.4183 4.5369 90.00 90.00 90.00
Last column: nearest neighbours and their distance in Å.
Space group P4/mmm (No. 123)
Unique sites:
Li  0.0000  0.0000  0.0000 [1 per cell]  4 Si 2.21, 2 Br 2.27
Si  0.0000  0.5000  0.0000 [2 per cell]  2 Li 2.21
C  0.5000  0.5000  0.5000 [1 per cell]  4 Br 3.12, 8 Si 3.17
Br  0.0000  0.0000  0.5000 [1 per cell]  2 Li 2.27